P) Density functional theory data (PBE) for a relaxed structure of CoRuW.

abc: 4.651 4.651 4.651
angles: 145.82 132.77 59.58
Each line ends with the local moment (μB).
Positions (direct):
Co  0.998  0.998  0.000  1.13
Ru  0.338  0.338  0.000  0.27
W  0.664  0.664  0.000  -0.07

=====

Q) Density functional theory data (PBE) for a relaxed structure of CoRuW.

abc: 4.219 4.219 2.679
angles: 90.00 90.00 120.00
Each line ends with the local moment (μB).
Positions (direct):
Co  0.000  0.000  0.878  0.47
Ru  0.333  0.667  0.353  0.09
W  0.667  0.333  0.769  -0.04

=====

R) Density functional theory data (PBE) for a relaxed structure of CoRuW.

abc: 4.082 4.082 4.082
angles: 60.00 60.00 60.00
Positions (direct):
Co  0.000  0.000  0.000
Ru  0.500  0.500  0.500
W  0.750  0.750  0.750

=====

S) Density functional theory data (PBE) for a relaxed structure of CoRuW.

abc: 4.273 4.679 8.112
angles: 90.00 90.00 90.00
Positions (direct):
Ru  0.250  0.827  0.342
Ru  0.750  0.173  0.342
Ru  0.250  0.327  0.842
Ru  0.750  0.673  0.842
Co  0.250  0.341  0.499
Co  0.750  0.659  0.499
Co  0.250  0.841  0.999
Co  0.750  0.159  0.999
W  0.250  0.814  0.668
W  0.750  0.186  0.668
W  0.250  0.314  0.168
W  0.750  0.686  0.168

=====

What are the relative energies? In eV/atom: P) 0.062; Q) 0.112; R) 0.480; S) 0.000.

=====

P) Density functional theory data (PBE) for a relaxed structure of CoRuW.

abc: 4.708 4.708 4.775
angles: 90.00 90.00 126.70
Each line ends with the local moment (μB).
Positions (direct):
Co  0.000  0.000  0.500  0.96
Co  0.000  0.000  0.000  0.96
Ru  0.598  0.402  0.750  0.02
Ru  0.402  0.598  0.250  0.02
W  0.720  0.280  0.250  -0.04
W  0.280  0.720  0.750  -0.04

=====

Q) Density functional theory data (PBE) for a relaxed structure of CoRuW.

abc: 4.697 5.968 5.805
angles: 90.00 90.00 90.00
Positions (direct):
Ru  0.250  0.153  0.498
Ru  0.750  0.847  0.498
Ru  0.750  0.653  0.998
Ru  0.250  0.347  0.998
Co  0.000  0.000  0.143
Co  0.500  0.000  0.143
Co  0.500  0.500  0.643
Co  0.000  0.500  0.643
W  0.250  0.848  0.792
W  0.750  0.152  0.792
W  0.750  0.348  0.292
W  0.250  0.652  0.292

=====

R) Density functional theory data (PBE) for a relaxed structure of CoRuW.

abc: 6.799 4.659 8.062
angles: 90.00 140.14 90.00
Each line ends with the local moment (μB).
Positions (direct):
Ru  0.044  0.411  0.426  0.20
Ru  0.544  0.589  0.926  0.20
Ru  0.044  0.911  0.926  0.20
Ru  0.544  0.089  0.426  0.20
Co  0.027  0.914  0.244  0.87
Co  0.527  0.086  0.744  0.87
Co  0.027  0.414  0.744  0.87
Co  0.527  0.586  0.244  0.87
W  0.522  0.092  0.071  -0.07
W  0.022  0.908  0.571  -0.07
W  0.522  0.592  0.571  -0.07
W  0.022  0.408  0.071  -0.07

=====

S) Density functional theory data (PBE) for a relaxed structure of CoRuW.

abc: 5.084 4.679 8.197
angles: 90.00 122.92 90.00
Positions (direct):
Ru  0.500  0.770  0.500
Ru  0.500  0.270  0.000
Ru  0.000  0.430  0.000
Ru  0.000  0.930  0.500
Co  0.504  0.756  0.172
Co  0.496  0.756  0.828
Co  0.504  0.256  0.672
Co  0.496  0.256  0.328
W  0.976  0.920  0.157
W  0.024  0.920  0.843
W  0.976  0.420  0.657
W  0.024  0.420  0.343

=====

What are the relative energies? In eV/atom: P) 0.184; Q) 0.000; R) 0.071; S) 0.109.

=====

P) Density functional theory data (PBE) for a relaxed structure of CoRu3W.

abc: 4.339 4.339 4.339
angles: 90.00 90.00 90.00
Each line ends with the local moment (μB).
Positions (direct):
Ru  0.000  0.500  0.000  0.77
Ru  0.000  0.000  0.500  0.87
Ru  0.500  0.000  0.000  0.49
Co  0.000  0.000  0.000  1.49
W  0.500  0.500  0.500  -0.23

=====

Q) Density functional theory data (PBE) for a relaxed structure of CoRu3W.

abc: 4.655 4.655 4.655
angles: 90.00 90.00 90.00
Each line ends with the local moment (μB).
Positions (direct):
Ru  0.000  0.500  0.000  0.84
Ru  0.000  0.000  0.500  0.82
Ru  0.500  0.000  0.000  0.80
Co  0.500  0.500  0.500  2.22
W  0.000  0.000  0.000  -0.18

=====

What are the relative energies? In eV/atom: P) 0.000; Q) 0.347.

=====

P) Density functional theory data (PBE) for a relaxed structure of CoRuW3.

abc: 4.405 4.405 4.405
angles: 90.00 90.00 90.00
Positions (direct):
Ru  0.500  0.500  0.500
Co  0.000  0.000  0.000
W  0.000  0.500  0.000
W  0.000  0.000  0.500
W  0.500  0.000  0.000

=====

Q) Density functional theory data (PBE) for a relaxed structure of CoRuW3.

abc: 4.641 4.641 4.641
angles: 90.00 90.00 90.00
Positions (direct):
Ru  0.000  0.000  0.000
Co  0.500  0.500  0.500
W  0.000  0.500  0.000
W  0.000  0.000  0.500
W  0.500  0.000  0.000

=====

What are the relative energies? In eV/atom: P) 0.000; Q) 0.785.